No. 1
Crystalline NdHoTc at its relaxed geometry, computed with PBE.

Computed properties:
Electronic total energy, eV per atom: -5.566
ΔH_f (0 K), eV/atom: 1.00

Structure (POSCAR):
```
NdHoTc
1.0
-2.585 -4.055 -0.168
-4.589 0.011 1.448
-3.542 -0.463 -3.224
Tc Nd Ho
1 1 1
Direct
0.750 0.750 0.750 Tc
0.000 0.000 0.000 Nd
0.250 0.250 0.250 Ho
```

=====

No. 2
Crystalline Nd5HoTe6 at its relaxed geometry, computed with PBE.

Computed properties:
Electronic total energy, eV per atom: -5.333

Structure (POSCAR):
```
Nd5HoTe6
1.0
3.872 -6.714 0.000
3.872 6.714 0.000
-2.576 0.000 7.280
Te Nd Ho
6 5 1
Direct
0.240 0.240 0.750 Te
0.081 0.404 0.243 Te
0.760 0.760 0.250 Te
0.919 0.596 0.757 Te
0.404 0.081 0.243 Te
0.596 0.919 0.757 Te
0.175 0.825 0.500 Nd
0.825 0.175 0.500 Nd
0.332 0.668 0.000 Nd
0.668 0.332 0.000 Nd
0.500 0.500 0.500 Nd
0.000 0.000 0.000 Ho
```

=====

No. 3
Crystalline NdHo2Te3 at its relaxed geometry, computed with PBE.

Computed properties:
Electronic total energy, eV per atom: -5.199

Structure (POSCAR):
```
NdHo2Te3
1.0
4.357 0.000 0.000
-2.179 3.773 0.000
0.000 0.000 10.869
Te Ho Nd
3 2 1
Direct
0.333 0.667 0.179 Te
0.000 0.000 0.500 Te
0.667 0.333 0.821 Te
0.333 0.667 0.663 Ho
0.667 0.333 0.337 Ho
0.000 0.000 0.000 Nd
```

=====

No. 4
Crystalline NdHoTe at its relaxed geometry, computed with PBE.

Computed properties:
Electronic total energy, eV per atom: -4.711
Energy above the most stable polymorph in this dataset, kJ/mol of formula units: 0

Structure (POSCAR):
```
NdHoTe
1.0
0.000 3.628 3.628
3.628 0.000 3.628
3.628 3.628 0.000
Nd Te Ho
1 1 1
Direct
0.750 0.750 0.750 Nd
0.000 0.000 0.000 Te
0.250 0.250 0.250 Ho
```

=====

No. 5
Crystalline NdHoTlTe3 at its relaxed geometry, computed with PBE.

Computed properties:
Electronic total energy, eV per atom: -4.506
Energy above the most stable polymorph in this dataset, kJ/mol of formula units: 0

Structure (POSCAR):
```
NdHoTlTe3
1.0
4.879 2.379 5.947
-6.515 1.599 -4.453
-6.998 -5.925 8.111
Nd Te Tl Ho
2 6 2 2
Direct
0.000 0.000 0.500 Nd
0.000 0.000 0.000 Nd
0.645 0.355 0.961 Te
0.355 0.645 0.039 Te
0.355 0.645 0.461 Te
0.067 0.933 0.250 Te
0.645 0.355 0.539 Te
0.933 0.067 0.750 Te
0.746 0.254 0.250 Tl
0.254 0.746 0.750 Tl
0.557 0.443 0.750 Ho
0.443 0.557 0.250 Ho
```

=====

No. 6
Crystalline NdHoTlTe3 at its relaxed geometry, computed with PBE.

Computed properties:
Electronic total energy, eV per atom: -4.472
Energy above the most stable polymorph in this dataset, kJ/mol of formula units: 19

Structure (POSCAR):
```
NdHoTlTe3
1.0
-5.680 5.041 2.472
5.608 -5.348 1.933
8.253 8.927 0.756
Te Tl Ho Nd
6 2 2 2
Direct
0.358 0.642 0.983 Te
0.063 0.937 0.750 Te
0.642 0.358 0.483 Te
0.358 0.642 0.517 Te
0.642 0.358 0.017 Te
0.937 0.063 0.250 Te
0.263 0.737 0.250 Tl
0.737 0.263 0.750 Tl
0.000 0.000 0.500 Ho
0.000 0.000 0.000 Ho
0.576 0.423 0.250 Nd
0.423 0.576 0.750 Nd
```

=====

Number 1: total moment 0.55 μB per formula unit. Number 2: total moment 0.00 μB per formula unit. Number 3: total moment 0.00 μB per formula unit. Number 4: total moment 0.69 μB per formula unit. Number 5: total moment 0.02 μB per formula unit. Number 6: total moment 0.35 μB per formula unit.